1.
Entry from Alexandria via LeMat-Bulk: a relaxed structure of KNaSmCl5 (PBE).

Computed properties:
space-group type = C2/c
total moment = 0.00 μB/f.u.
raw total energy = -4.12 eV per atom

Structure (extended XYZ):
```
16
Lattice="-4.368 -4.570 -4.610 -0.507 -2.078 7.526 -5.383 8.632 -0.059" Properties=species:S:1:pos:R:3 pbc="T T T"
Cl -5.176 0.072 -2.735
Cl -8.083 2.112 -3.641
Cl -8.218 3.736 2.624
Cl -2.175 -0.128 6.497
Cl -5.958 -0.858 1.296
Cl -4.821 -3.972 -2.018
Cl -4.300 2.842 1.561
Cl -5.437 5.956 4.874
Cl -2.040 -1.753 0.233
Cl -5.082 1.912 5.592
K -3.218 -0.801 3.221
K -7.040 2.785 -0.364
Na -4.501 -1.629 -0.812
Na -5.757 3.613 3.669
Sm 0.000 0.000 0.000
Sm -2.692 4.316 -0.030
```

2.
Entry from Alexandria via LeMat-Bulk: a relaxed structure of K2NaSmCl6 (PBE).

Computed properties:
space-group type = Fm-3m
total moment = 0.00 μB/f.u.
raw total energy = -3.98 eV per atom

Structure (extended XYZ):
```
10
Lattice="7.661 0.000 0.000 3.830 6.634 0.000 3.830 2.211 6.255" Properties=species:S:1:pos:R:3 pbc="T T T"
Sm 0.000 0.000 0.000
Cl 9.592 3.308 4.705
Cl 9.592 5.538 1.550
Cl 5.729 3.308 4.705
Cl 5.729 5.538 1.550
Cl 7.661 2.192 1.550
Cl 7.661 6.653 4.705
K 3.830 2.211 1.564
K 11.491 6.634 4.691
Na 7.661 4.423 3.127
```

Raw formation energy readings, ordered: -16.59, -20.44 eV per formula unit